A plane-wave DFT calculation with PBE was carried out for crystalline K2LiNi3H12 at its relaxed geometry.

Geometry as CIF:
```
data_K2LiNi3H12
_chemical_formula_sum 'K2 Li1 Ni3 H12'
_cell_length_a 6.173
_cell_length_b 6.173
_cell_length_c 6.173
_cell_angle_alpha 59.20
_cell_angle_beta 59.20
_cell_angle_gamma 59.20
_space_group_name_H-M_alt 'P 1'
_space_group_IT_number 1
_space_group_name_Hall 'P 1'
loop_
_atom_site_label
_atom_site_fract_x
_atom_site_fract_y
_atom_site_fract_z
Li1 0.000 0.000 0.000
H1 0.091 0.091 0.618
H2 0.909 0.382 0.909
H3 0.307 0.910 0.307
H4 0.693 0.090 0.693
H5 0.090 0.693 0.693
H6 0.693 0.693 0.090
H7 0.382 0.909 0.909
H8 0.910 0.307 0.307
H9 0.618 0.091 0.091
H10 0.909 0.909 0.382
H11 0.307 0.307 0.910
H12 0.091 0.618 0.091
Ni1 0.000 0.000 0.500
Ni2 0.000 0.500 0.000
Ni3 0.500 0.000 0.000
K1 0.381 0.381 0.381
K2 0.619 0.619 0.619
```

The calculation puts the final energy at -63.8 eV per cell. As for the crystal system: trigonal.

A plane-wave DFT calculation with PBE was carried out for crystalline KLiNiH6 at its relaxed geometry.

Geometry as CIF:
```
data_KLiNiH6
_chemical_formula_sum 'K1 Li1 Ni1 H6'
_cell_length_a 4.778
_cell_length_b 4.778
_cell_length_c 5.354
_cell_angle_alpha 90.01
_cell_angle_beta 90.00
_cell_angle_gamma 59.97
_space_group_name_H-M_alt 'P 1'
_space_group_IT_number 1
_space_group_name_Hall 'P 1'
loop_
_atom_site_label
_atom_site_fract_x
_atom_site_fract_y
_atom_site_fract_z
H1 0.579 0.071 0.334
H2 0.072 0.350 0.334
H3 0.579 0.349 0.666
H4 0.349 0.072 0.666
H5 0.072 0.579 0.666
H6 0.350 0.578 0.334
K1 0.000 0.000 0.000
Ni1 0.333 0.333 0.500
Li1 0.667 0.667 0.500
```

The calculation puts the final energy at -30.5 eV per cell. As for the crystal system: trigonal.

A plane-wave DFT calculation with PBE was carried out for crystalline K2Li2NiH4 at its relaxed geometry.

Geometry as CIF:
```
data_K2Li2NiH4
_chemical_formula_sum 'K2 Li2 Ni1 H4'
_cell_length_a 5.926
_cell_length_b 5.926
_cell_length_c 5.926
_cell_angle_alpha 104.54
_cell_angle_beta 111.99
_cell_angle_gamma 111.99
_space_group_name_H-M_alt 'P 1'
_space_group_IT_number 1
_space_group_name_Hall 'P 1'
loop_
_atom_site_label
_atom_site_fract_x
_atom_site_fract_y
_atom_site_fract_z
K1 0.500 0.250 0.750
K2 0.500 0.750 0.250
Li1 0.000 0.311 0.311
Li2 0.000 0.689 0.689
H1 0.669 0.835 0.835
H2 0.000 0.165 0.835
H3 0.331 0.165 0.165
H4 0.000 0.835 0.165
Ni1 0.000 0.000 0.000
```

The calculation puts the final energy at -25.2 eV per cell. As for the crystal system: tetragonal.

A plane-wave DFT calculation with PBE was carried out for crystalline K2Li3NpH12 at its relaxed geometry.

Geometry as CIF:
```
data_K2Li3NpH12
_chemical_formula_sum 'K2 Li3 Np1 H12'
_cell_length_a 6.321
_cell_length_b 6.321
_cell_length_c 6.321
_cell_angle_alpha 65.59
_cell_angle_beta 65.59
_cell_angle_gamma 65.59
_space_group_name_H-M_alt 'P 1'
_space_group_IT_number 1
_space_group_name_Hall 'P 1'
loop_
_atom_site_label
_atom_site_fract_x
_atom_site_fract_y
_atom_site_fract_z
H1 0.891 0.220 0.220
H2 0.876 0.876 0.365
H3 0.124 0.124 0.635
H4 0.220 0.220 0.891
H5 0.780 0.109 0.780
H6 0.124 0.635 0.124
H7 0.109 0.780 0.780
H8 0.635 0.124 0.124
H9 0.220 0.891 0.220
H10 0.876 0.365 0.876
H11 0.780 0.780 0.109
H12 0.365 0.876 0.876
Li1 0.500 0.000 0.000
Li2 0.000 0.500 0.000
Li3 0.000 0.000 0.500
K1 0.611 0.611 0.611
K2 0.389 0.389 0.389
Np1 0.000 0.000 0.000
```

The calculation puts the final energy at -62.4 eV per cell. As for the crystal system: trigonal.

A plane-wave DFT calculation with PBE was carried out for crystalline KLi2H3O3 at its relaxed geometry.

Geometry as CIF:
```
data_KLi2H3O3
_chemical_formula_sum 'K2 Li4 H6 O6'
_cell_length_a 5.679
_cell_length_b 5.204
_cell_length_c 7.109
_cell_angle_alpha 89.19
_cell_angle_beta 90.00
_cell_angle_gamma 90.00
_space_group_name_H-M_alt 'P 1'
_space_group_IT_number 1
_space_group_name_Hall 'P 1'
loop_
_atom_site_label
_atom_site_fract_x
_atom_site_fract_y
_atom_site_fract_z
O1 0.250 0.087 0.203
O2 0.250 0.286 0.360
O3 0.750 0.714 0.640
O4 0.750 0.381 0.008
O5 0.250 0.619 0.992
O6 0.750 0.913 0.797
H1 0.250 0.779 0.064
H2 0.250 0.176 0.790
H3 0.750 0.221 0.936
H4 0.750 0.824 0.210
H5 0.250 0.219 0.688
H6 0.750 0.781 0.312
K1 0.250 0.775 0.486
K2 0.750 0.225 0.514
Li1 0.049 0.356 0.131
Li2 0.549 0.644 0.869
Li3 0.951 0.644 0.869
Li4 0.451 0.356 0.131
```

The calculation puts the final energy at -78.1 eV per cell. As for the crystal system: monoclinic.

A plane-wave DFT calculation with PBE was carried out for crystalline KLi2HO at its relaxed geometry.

Geometry as CIF:
```
data_KLi2HO
_chemical_formula_sum 'K1 Li2 H1 O1'
_cell_length_a 3.846
_cell_length_b 4.604
_cell_length_c 3.846
_cell_angle_alpha 90.00
_cell_angle_beta 90.00
_cell_angle_gamma 90.00
_space_group_name_H-M_alt 'P 1'
_space_group_IT_number 1
_space_group_name_Hall 'P 1'
loop_
_atom_site_label
_atom_site_fract_x
_atom_site_fract_y
_atom_site_fract_z
O1 0.500 0.500 0.500
H1 0.000 0.000 0.000
Li1 0.500 0.000 0.000
Li2 0.000 0.000 0.500
K1 0.000 0.500 0.000
```

The calculation puts the final energy at -15.8 eV per cell. As for the crystal system: tetragonal.

A plane-wave DFT calculation with PBE was carried out for crystalline KLi2H3O3 at its relaxed geometry.

Geometry as CIF:
```
data_KLi2H3O3
_chemical_formula_sum 'K2 Li4 H6 O6'
_cell_length_a 5.525
_cell_length_b 5.765
_cell_length_c 7.581
_cell_angle_alpha 79.91
_cell_angle_beta 90.00
_cell_angle_gamma 90.00
_space_group_name_H-M_alt 'P 1'
_space_group_IT_number 1
_space_group_name_Hall 'P 1'
loop_
_atom_site_label
_atom_site_fract_x
_atom_site_fract_y
_atom_site_fract_z
H1 0.250 0.775 0.983
H2 0.750 0.818 0.237
H3 0.250 0.182 0.763
H4 0.250 0.242 0.664
H5 0.750 0.758 0.336
H6 0.750 0.225 0.017
O1 0.750 0.827 0.717
O2 0.250 0.613 0.963
O3 0.250 0.392 0.371
O4 0.750 0.387 0.037
O5 0.250 0.173 0.283
O6 0.750 0.608 0.629
Li1 0.450 0.414 0.157
Li2 0.950 0.586 0.843
Li3 0.050 0.414 0.157
Li4 0.550 0.586 0.843
K1 0.750 0.231 0.497
K2 0.250 0.769 0.503
```

The calculation puts the final energy at -78.0 eV per cell. As for the crystal system: monoclinic.

A plane-wave DFT calculation with PBE was carried out for crystalline KLi2H3O3 at its relaxed geometry.

Geometry as CIF:
```
data_KLi2H3O3
_chemical_formula_sum 'K2 Li4 H6 O6'
_cell_length_a 5.506
_cell_length_b 6.031
_cell_length_c 7.780
_cell_angle_alpha 73.71
_cell_angle_beta 90.00
_cell_angle_gamma 90.00
_space_group_name_H-M_alt 'P 1'
_space_group_IT_number 1
_space_group_name_Hall 'P 1'
loop_
_atom_site_label
_atom_site_fract_x
_atom_site_fract_y
_atom_site_fract_z
O1 0.750 0.800 0.692
O2 0.750 0.580 0.632
O3 0.250 0.609 0.949
O4 0.250 0.420 0.368
O5 0.250 0.200 0.308
O6 0.750 0.391 0.051
Li1 0.950 0.566 0.839
Li2 0.550 0.566 0.839
Li3 0.450 0.434 0.161
Li4 0.050 0.434 0.161
H1 0.750 0.227 0.061
H2 0.250 0.773 0.939
H3 0.250 0.240 0.652
H4 0.750 0.760 0.348
H5 0.750 0.830 0.249
H6 0.250 0.170 0.751
K1 0.250 0.767 0.494
K2 0.750 0.233 0.506
```

The calculation puts the final energy at -78.1 eV per cell. As for the crystal system: monoclinic.

A plane-wave DFT calculation with PBE was carried out for crystalline KLi2H3O3 at its relaxed geometry.

Geometry as CIF:
```
data_KLi2H3O3
_chemical_formula_sum 'K2 Li4 H6 O6'
_cell_length_a 5.179
_cell_length_b 5.776
_cell_length_c 6.122
_cell_angle_alpha 77.00
_cell_angle_beta 90.00
_cell_angle_gamma 90.00
_space_group_name_H-M_alt 'P 1'
_space_group_IT_number 1
_space_group_name_Hall 'P 1'
loop_
_atom_site_label
_atom_site_fract_x
_atom_site_fract_y
_atom_site_fract_z
Li1 0.994 0.347 0.185
Li2 0.494 0.653 0.815
Li3 0.006 0.653 0.815
Li4 0.506 0.347 0.185
O1 0.250 0.916 0.795
O2 0.250 0.325 0.416
O3 0.750 0.084 0.205
O4 0.750 0.617 0.077
O5 0.750 0.675 0.584
O6 0.250 0.383 0.923
K1 0.750 0.155 0.734
K2 0.250 0.845 0.266
H1 0.250 0.387 0.552
H2 0.750 0.967 0.350
H3 0.250 0.225 0.887
H4 0.250 0.033 0.650
H5 0.750 0.613 0.448
H6 0.750 0.775 0.113
```

The calculation puts the final energy at -86.7 eV per cell. As for the crystal system: monoclinic.